*i*
{
  "formula": "BaSrLa",
  "functional": "PBE",
  "state": "relaxed",
  "lattice": [[-6.225, -3.523, -0.167], [-0.116, -7.000, -1.475], [2.317, 5.234, 4.292]],
  "species": ["Ba", "La", "Sr"],
  "frac_coords": [[0.995, 0.995, 0.000], [0.333, 0.333, 0.000], [0.672, 0.672, 0.000]],
  "density_g_cm3": 4.1,
  "n_ef_per_ev_fu": 5.5,
  "magnetic_moment_mub_per_atom": 0.0096,
  "sg": "Imm2"
}


*ii*
{
  "formula": "BaSrLa",
  "functional": "PBE",
  "state": "relaxed",
  "lattice": [[-3.437, 1.591, 6.179], [0.409, -2.098, 3.568], [19.388, 3.667, -17.099]],
  "species": ["La", "La", "Sr", "Sr", "Ba", "Ba"],
  "frac_coords": [[0.459, 0.790, 0.570], [0.541, 0.210, 0.430], [0.630, 0.144, 0.293], [0.370, 0.856, 0.707], [0.449, 0.949, 0.900], [0.551, 0.051, 0.100]],
  "density_g_cm3": 4.0,
  "n_ef_per_ev_fu": 4.7,
  "magnetic_moment_mub_per_atom": 0.0002,
  "sg": "P2_1/m"
}


*iii*
{
  "formula": "BaSrLa",
  "functional": "PBE",
  "state": "relaxed",
  "lattice": [[4.073, 0.000, 0.000], [-2.037, 3.528, 0.000], [0.000, 0.000, 10.177]],
  "species": ["Ba", "La", "Sr"],
  "frac_coords": [[0.000, 0.000, 0.012], [0.667, 0.333, 0.336], [0.333, 0.667, 0.652]],
  "density_g_cm3": 4.1,
  "n_ef_per_ev_fu": 4.8,
  "magnetic_moment_mub_per_atom": 0.0016,
  "sg": "P3m1"
}


Energy relative to the most stable one, in kJ/mol of atoms: *i* 6.0; *ii* 0.0; *iii* 1.2


*i*
{
  "formula": "BaSr2La",
  "functional": "PBE",
  "state": "relaxed",
  "lattice": [[6.573, 0.000, 0.000], [0.000, 3.975, 0.001], [0.000, 1.366, 7.608]],
  "species": ["Ba", "La", "Sr", "Sr"],
  "frac_coords": [[0.500, 0.250, 0.250], [0.500, 0.750, 0.750], [0.000, 0.007, 0.990], [0.000, 0.493, 0.510]],
  "density_g_cm3": 3.8,
  "n_ef_per_ev_fu": 4.2,
  "magnetic_moment_mub_per_atom": 0.0000,
  "sg": "P2/m"
}


*ii*
{
  "formula": "BaSr2La",
  "functional": "PBE",
  "state": "relaxed",
  "lattice": [[6.002, 0.000, 0.000], [0.000, 5.810, 0.000], [0.000, 0.000, 5.810]],
  "species": ["Ba", "La", "Sr", "Sr"],
  "frac_coords": [[0.500, 0.500, 0.000], [0.500, 0.000, 0.500], [0.000, 0.000, 0.000], [0.000, 0.500, 0.500]],
  "density_g_cm3": 3.7,
  "n_ef_per_ev_fu": 8.1,
  "magnetic_moment_mub_per_atom": 0.1404,
  "sg": "P4/mmm"
}


*iii*
{
  "formula": "BaSr2La",
  "functional": "PBE",
  "state": "relaxed",
  "lattice": [[-2.523, 0.134, -3.242], [-0.922, -3.452, -2.029], [-11.895, -3.103, 6.524]],
  "species": ["Ba", "Sr", "Sr", "La"],
  "frac_coords": [[0.500, 0.500, 0.500], [0.079, 0.079, 0.764], [0.255, 0.255, 0.236], [0.667, 0.667, 0.000]],
  "density_g_cm3": 3.7,
  "n_ef_per_ev_fu": 6.8,
  "magnetic_moment_mub_per_atom": 0.0004,
  "sg": "R3m"
}


Energy relative to the most stable one, in kJ/mol of atoms: *i* 1.5; *ii* 6.5; *iii* 0.0


*i*
{
  "formula": "BaSr2La",
  "functional": "PBE",
  "state": "relaxed",
  "lattice": [[-7.042, 6.829, 2.626], [1.805, -1.911, 9.808], [0.042, 5.186, 6.259]],
  "species": ["Sr", "Sr", "Sr", "Sr", "Ba", "Ba", "La", "La"],
  "frac_coords": [[0.632, 0.125, 0.250], [0.118, 0.625, 0.250], [0.375, 0.368, 0.750], [0.875, 0.882, 0.750], [0.500, 0.500, 0.000], [0.250, 0.750, 0.500], [0.000, 0.000, 0.000], [0.750, 0.250, 0.500]],
  "density_g_cm3": 3.8,
  "n_ef_per_ev_fu": 6.9,
  "magnetic_moment_mub_per_atom": 0.0449,
  "sg": "I-42d"
}


*ii*
{
  "formula": "BaSr2La",
  "functional": "PBE",
  "state": "relaxed",
  "lattice": [[7.780, -0.005, 0.006], [3.610, 6.892, -0.006], [-4.911, -4.740, 3.734]],
  "species": ["Ba", "La", "Sr", "Sr"],
  "frac_coords": [[0.507, 0.507, 0.000], [0.751, 0.251, 0.500], [0.993, 0.993, 0.000], [0.248, 0.748, 0.500]],
  "density_g_cm3": 3.7,
  "n_ef_per_ev_fu": 4.9,
  "magnetic_moment_mub_per_atom": 0.0000,
  "sg": "Imm2"
}


*iii*
{
  "formula": "BaSr2La",
  "functional": "PBE",
  "state": "relaxed",
  "lattice": [[-0.750, -3.930, -0.238], [3.809, 0.642, 1.067], [-3.582, -0.093, 12.843]],
  "species": ["Ba", "La", "Sr", "Sr"],
  "frac_coords": [[0.000, 0.000, 0.512], [0.500, 0.500, 0.753], [0.000, 0.000, 0.989], [0.500, 0.500, 0.246]],
  "density_g_cm3": 3.7,
  "n_ef_per_ev_fu": 5.6,
  "magnetic_moment_mub_per_atom": 0.0005,
  "sg": "Cmm2"
}


Energy relative to the most stable one, in kJ/mol of atoms: *i* 23.5; *ii* 1.8; *iii* 0.0